Record 1
Below is an optimized crystal structure of AlNiCl3, with properties calculated at the GGA-PBE level.

Summary:
As for the symmetry: Pm-3m. The energy above the most stable polymorph in this dataset is 0 meV per atom. For the magnetization, the calculation gives 0.000 μB per formula unit.

a = 4.7011 Å, b = 4.7011 Å, c = 4.7011 Å
α = 90.00°, β = 90.00°, γ = 90.00°
Closest atoms and distances in Å follow each position.
Fractional coordinates of all 5 atoms:
Al  0.5000  0.5000  0.5000  12 Cl 3.32
Cl  0.0000  0.0000  0.5000  2 Ni 2.35
Cl  0.5000  0.0000  0.0000  2 Ni 2.35
Cl  0.0000  0.5000  0.0000  2 Ni 2.35
Ni  0.0000  0.0000  0.0000  6 Cl 2.35

=====

Record 2
Below is an optimized crystal structure of Al2NiCl, with properties calculated at the GGA-PBE level.

Summary:
As for the symmetry: Pmmm. The energy above the most stable polymorph in this dataset is 668 meV per atom. For the magnetization, the calculation gives 0.000 μB per formula unit.

a = 2.8474 Å, b = 5.1620 Å, c = 4.4595 Å
α = 90.00°, β = 90.00°, γ = 90.00°
Closest atoms and distances in Å follow each position.
Fractional coordinates of all 4 atoms:
Al  0.0000  0.0000  0.0000  4 Cl 2.65, 6 Al 2.85-2.95
Al  0.5000  0.5000  0.0000  4 Ni 2.65, 6 Al 2.85-2.95
Ni  0.0000  0.5000  0.5000  4 Al 2.65, 2 Ni 2.85, 4 Cl 2.95
Cl  0.5000  0.0000  0.5000  4 Al 2.65, 2 Cl 2.85, 4 Ni 2.95

=====

Record 3
Below is an optimized crystal structure of AlNi2Cl, with properties calculated at the GGA-PBE level.

Summary:
As for the symmetry: C2/m. The energy above the most stable polymorph in this dataset is 438 meV per atom. For the magnetization, the calculation gives 0.000 μB per formula unit.

a = 4.9111 Å, b = 4.9111 Å, c = 2.9495 Å
α = 72.89°, β = 72.89°, γ = 113.39°
Closest atoms and distances in Å follow each position.
Fractional coordinates of all 4 atoms:
Ni  0.5000  0.5000  0.0000  2 Al 2.46, 2 Cl 2.46, 4 Ni 2.70-2.73
Ni  0.0000  0.0000  0.0000  2 Cl 2.46, 2 Al 2.46, 4 Ni 2.70-2.73
Cl  0.0000  0.5000  0.5000  4 Ni 2.46, 4 Al 2.70-2.73
Al  0.5000  0.0000  0.5000  4 Ni 2.46, 4 Cl 2.70-2.73

=====

Record 4
Below is an optimized crystal structure of Al2NiCl, with properties calculated at the GGA-PBE level.

Summary:
As for the symmetry: P4mm. The energy above the most stable polymorph in this dataset is 256 meV per atom. For the magnetization, the calculation gives 0.000 μB per formula unit.

a = 3.1653 Å, b = 3.1659 Å, c = 7.2989 Å
α = 90.00°, β = 90.00°, γ = 90.00°
Closest atoms and distances in Å follow each position.
Fractional coordinates of all 4 atoms:
Ni  0.5000  0.5000  0.9434  5 Al 2.26-2.39
Al  0.0000  0.0000  0.8282  4 Ni 2.39, 1 Cl 2.57
Al  0.5000  0.5000  0.2526  1 Ni 2.26
Cl  0.0000  0.0000  0.4757  5 Al 2.57-2.77

=====

Record 5
Below is an optimized crystal structure of Al2NiCl, with properties calculated at the GGA-PBE level.

Summary:
As for the symmetry: Cm. The energy above the most stable polymorph in this dataset is 387 meV per atom. For the magnetization, the calculation gives 0.000 μB per formula unit.

a = 5.5908 Å, b = 5.5908 Å, c = 4.5715 Å
α = 68.97°, β = 68.97°, γ = 29.12°
Closest atoms and distances in Å follow each position.
Fractional coordinates of all 4 atoms:
Al  0.9641  0.9641  0.0776  2 Ni 2.40, 2 Cl 2.55
Al  0.7313  0.7313  0.7525  4 Ni 2.69-2.73, 2 Al 2.81, 1 Cl 2.92
Cl  0.5337  0.5337  0.4569  2 Al 2.55, 2 Ni 2.77, 2 Cl 2.81
Ni  0.2709  0.2709  0.2130  2 Al 2.40

=====

Record 6
Below is an optimized crystal structure of Al2NiCl, with properties calculated at the GGA-PBE level.

Summary:
As for the symmetry: I4/mmm. The energy above the most stable polymorph in this dataset is 716 meV per atom. For the magnetization, the calculation gives 0.000 μB per formula unit.

a = 4.8491 Å, b = 4.8491 Å, c = 4.8491 Å
α = 130.56°, β = 130.56°, γ = 72.51°
Closest atoms and distances in Å follow each position.
Fractional coordinates of all 4 atoms:
Al  0.5000  0.5000  0.0000  4 Cl 2.82, 4 Ni 2.82, 4 Al 2.87
Al  0.0000  0.0000  0.0000  4 Cl 2.82, 4 Ni 2.82, 4 Al 2.87
Ni  0.7500  0.2500  0.5000  8 Al 2.82, 4 Cl 2.87
Cl  0.2500  0.7500  0.5000  8 Al 2.82, 4 Ni 2.87

=====

Record 7
Below is an optimized crystal structure of AlNi2Cl, with properties calculated at the GGA-PBE level.

Summary:
As for the symmetry: P4/mmm. The energy above the most stable polymorph in this dataset is 464 meV per atom. For the magnetization, the calculation gives 0.000 μB per formula unit.

a = 2.9690 Å, b = 4.2544 Å, c = 4.2544 Å
α = 90.00°, β = 90.00°, γ = 90.00°
Closest atoms and distances in Å follow each position.
Fractional coordinates of all 4 atoms:
Cl  0.5000  0.0000  0.5000  8 Ni 2.59
Ni  0.0000  0.5000  0.5000  4 Al 2.59, 4 Cl 2.59
Ni  0.0000  0.0000  0.0000  4 Al 2.59, 4 Cl 2.59
Al  0.5000  0.5000  0.0000  8 Ni 2.59

=====

Record 8
Below is an optimized crystal structure of AlNiCl, with properties calculated at the GGA-PBE level.

Summary:
As for the symmetry: Fmm2. The energy above the most stable polymorph in this dataset is 147 meV per atom. For the magnetization, the calculation gives 0.000 μB per formula unit.

a = 5.9728 Å, b = 5.9634 Å, c = 2.9704 Å
α = 75.77°, β = 75.41°, γ = 28.82°
Closest atoms and distances in Å follow each position.
Fractional coordinates of all 3 atoms:
Al  0.9827  0.9827  0.0173  4 Ni 2.43-2.45
Ni  0.3718  0.3718  0.6282  4 Al 2.43-2.45
Cl  0.6455  0.6455  0.3545  4 Al 2.77-2.79, 4 Cl 2.97, 1 Ni 3.06

=====

Record 9
Below is an optimized crystal structure of Al2NiCl, with properties calculated at the GGA-PBE level.

Summary:
As for the symmetry: C2/m. The energy above the most stable polymorph in this dataset is 540 meV per atom. For the magnetization, the calculation gives 0.000 μB per formula unit.

a = 5.4357 Å, b = 5.4357 Å, c = 4.4639 Å
α = 80.08°, β = 80.08°, γ = 30.64°
Closest atoms and distances in Å follow each position.
Fractional coordinates of all 4 atoms:
Ni  0.2500  0.2500  0.2500  4 Al 2.56, 4 Cl 2.65
Al  0.9449  0.9449  0.0184  1 Cl 2.55, 2 Ni 2.56
Al  0.5551  0.5551  0.4816  1 Cl 2.55, 2 Ni 2.56
Cl  0.7500  0.7500  0.7500  2 Al 2.55, 4 Ni 2.65

=====

Record 10
Below is an optimized crystal structure of Al2NiCl8, with properties calculated at the GGA-PBE level.

Summary:
As for the symmetry: C2/c. The energy above the most stable polymorph in this dataset is 0 meV per atom. For the magnetization, the calculation gives 2.090 μB per formula unit.

a = 8.2491 Å, b = 8.2492 Å, c = 11.5663 Å
α = 88.30°, β = 88.30°, γ = 61.57°
Closest atoms and distances in Å follow each position.
Fractional coordinates of all 22 atoms:
Cl  0.1167  0.1636  0.8627  1 Al 2.19, 1 Ni 2.42
Cl  0.1495  0.7244  0.3816  1 Al 2.19, 1 Ni 2.43
Cl  0.8713  0.2791  0.1382  1 Al 2.18
Cl  0.5933  0.7036  0.4097  1 Al 2.10
Cl  0.2756  0.8505  0.1184  1 Al 2.19, 1 Ni 2.43
Cl  0.2964  0.4066  0.0903  1 Al 2.10
Cl  0.8508  0.2754  0.6184  1 Al 2.19, 1 Ni 2.43
Cl  0.8364  0.8833  0.6373  1 Al 2.19, 1 Ni 2.42
Cl  0.7038  0.5931  0.9097  1 Al 2.10
Cl  0.7209  0.1287  0.3618  1 Al 2.18
Cl  0.1638  0.1165  0.3627  1 Al 2.19, 1 Ni 2.42
Cl  0.2794  0.8711  0.6381  1 Al 2.18
Cl  0.1289  0.7206  0.8619  1 Al 2.18
Cl  0.4070  0.2962  0.5903  1 Al 2.10
Cl  0.7246  0.1492  0.8816  1 Al 2.19, 1 Ni 2.43
Cl  0.8835  0.8362  0.1373  1 Al 2.19, 1 Ni 2.42
Ni  0.9886  0.0114  0.7500  6 Cl 2.42-2.46
Ni  0.0116  0.9884  0.2500  6 Cl 2.42-2.45
Al  0.8473  0.3098  0.9503  4 Cl 2.10-2.19
Al  0.6902  0.1527  0.5497  4 Cl 2.10-2.19
Al  0.3101  0.8471  0.4503  4 Cl 2.10-2.19
Al  0.1529  0.6899  0.0497  4 Cl 2.10-2.19